# 1
DFT (PBE) results for Ce2RhAu3 after structural relaxation.

Lattice parameters (Å, degrees): 3.5309 5.0102 7.6978 90.00 90.00 90.00
Sites, in units of the cell vectors:
1 Ce 0.0000 0.0000 0.0000
2 Ce 0.0000 0.5000 0.4645
3 Rh 0.5000 0.0000 0.2683
4 Au 0.5000 0.0000 0.6306
5 Au 0.5000 0.5000 0.1455
6 Au 0.5000 0.5000 0.7923

Values from the calculation:
Size of the total moment: 1.3 μB/f.u.
Space group: No. 25
ΔH_f (0 K): -0.62 eV/atom
DFT total energy: -5.459 eV per atom



# 2
DFT (PBE) results for PmSmEr after structural relaxation.

Lattice parameters (Å, degrees): 8.0352 8.0352 8.0352 154.13 154.13 36.91
Sites, in units of the cell vectors:
1 Pm 0.0000 0.0000 0.0000
2 Sm 0.6701 0.6701 0.0000
3 Er 0.3347 0.3347 0.0000

Values from the calculation:
Relative energy among the computed polymorphs: 0.004 eV/atom
Size of the total moment: 0.0 μB/f.u.
Space group: No. 107
ΔH_f (0 K): 0.02 eV/atom
DFT total energy: -4.656 eV per atom